# 1
Here is a geometry-optimized Mn2Be2GaNi5 structure from Alexandria. Energies are from PBE.

Computed properties:
- E_tot: -6.019 eV per atom
- M_tot: 17.35 μB/cell
- DOS(E_F): 8.88 states/eV/cell
- E_form: -0.247 eV/atom

```
data_Mn2Be2GaNi5
_chemical_formula_sum 'Mn4 Be4 Ga2 Ni10'
_symmetry_space_group_name_H-M 'P 4/m b m'
_symmetry_Int_Tables_number 127
_symmetry_space_group_name_Hall '-P 4 2ab'
_cell_length_a 8.3378
_cell_length_b 8.3378
_cell_length_c 3.2172
_cell_angle_alpha 90.00
_cell_angle_beta 90.00
_cell_angle_gamma 90.00
loop_
_atom_site_label
_atom_site_type_symbol
_atom_site_fract_x
_atom_site_fract_y
_atom_site_fract_z
_atom_site_occupancy
Mn1 Mn 0.1749 0.3251 0.0000 1
Be1 Be 0.1202 0.6202 0.0000 1
Ga1 Ga 0.0000 0.0000 0.0000 1
Ni1 Ni 0.0000 0.5000 0.5000 1
Ni2 Ni 0.0702 0.7887 0.5000 1
```


# 2
Here is a geometry-optimized MnBeGa2Sb structure from Alexandria. Energies are from PBE.

Computed properties:
- E_tot: -3.644 eV per atom
- M_tot: 0.11 μB/cell
- DOS(E_F): 5.80 states/eV/cell

```
data_MnBeGa2Sb
_chemical_formula_sum 'Mn1 Be1 Ga2 Sb1'
_symmetry_space_group_name_H-M 'P 4/m m m'
_symmetry_Int_Tables_number 123
_symmetry_space_group_name_Hall '-P 4 2'
_cell_length_a 4.5045
_cell_length_b 4.5045
_cell_length_c 5.6625
_cell_angle_alpha 90.00
_cell_angle_beta 90.00
_cell_angle_gamma 90.00
loop_
_atom_site_label
_atom_site_type_symbol
_atom_site_fract_x
_atom_site_fract_y
_atom_site_fract_z
_atom_site_occupancy
Mn1 Mn 0.0000 0.0000 0.0000 1
Be1 Be 0.5000 0.5000 0.5000 1
Ga1 Ga 0.0000 0.5000 0.5000 1
Sb1 Sb 0.5000 0.5000 0.0000 1
```